No. 1
This record from Alexandria describes crystalline SbAu2I6 at its relaxed geometry. The functional is PBE-GGA.

Summary:
* SG: C2/c
* E_form (uncorrected): -115 meV/atom
* calculated total energy: -2.34 eV per atom
* magnetization: 0.0 μB/f.u.
* density of states at the Fermi level: 3.1 states/eV/cell

Cell lengths 8.562, 10.352, 10.352 Å; angles 90.73, 78.25, 78.25 degrees
Positions (direct):
Sb1 0.250 0.095 0.905
Sb2 0.750 0.905 0.095
Au1 0.264 0.687 0.755
Au2 0.236 0.245 0.313
Au3 0.736 0.313 0.245
Au4 0.764 0.755 0.687
I1 0.550 0.620 0.595
I2 0.950 0.405 0.380
I3 0.450 0.380 0.405
I4 0.050 0.595 0.620
I5 0.824 0.913 0.345
I6 0.676 0.655 0.087
I7 0.176 0.087 0.655
I8 0.324 0.345 0.913
I9 0.124 0.788 0.997
I10 0.376 0.003 0.212
I11 0.876 0.212 0.003
I12 0.624 0.997 0.788


No. 2
This record from Alexandria describes crystalline SbAuI at its relaxed geometry. The functional is PBE-GGA.

Summary:
* SG: P-1
* E_form (uncorrected): -113 meV/atom
* calculated total energy: -3.10 eV per atom
* magnetization: 0.0 μB/f.u.

Cell lengths 6.721, 4.419, 8.087 Å; angles 88.91, 66.97, 87.22 degrees
Positions (direct):
Au1 0.899 0.550 0.680
Au2 0.418 0.543 0.156
I1 0.843 0.298 0.016
I2 0.474 0.795 0.820
Sb1 0.041 0.827 0.358
Sb2 0.276 0.266 0.478


No. 3
This record from Alexandria describes crystalline SbAuI4 at its relaxed geometry. The functional is PBE-GGA.

Summary:
* SG: C2/c
* E_form (uncorrected): -97 meV/atom
* calculated total energy: -2.36 eV per atom
* magnetization: 0.0 μB/f.u.

Cell lengths 7.414, 8.848, 9.443 Å; angles 112.52, 106.89, 102.57 degrees
Positions (direct):
Sb1 0.330 0.580 0.160
Sb2 0.670 0.420 0.840
Au1 0.070 0.820 0.640
Au2 0.930 0.180 0.360
I1 0.996 0.275 0.125
I2 0.629 0.850 0.125
I3 0.332 0.430 0.612
I4 0.668 0.570 0.388
I5 0.221 0.818 0.388
I6 0.371 0.150 0.875
I7 0.779 0.182 0.612
I8 0.004 0.725 0.875


No. 4
This record from Alexandria describes crystalline SbAuI at its relaxed geometry. The functional is PBE-GGA.

Summary:
* SG: Pnma
* E_form (uncorrected): -25 meV/atom
* calculated total energy: -3.01 eV per atom
* magnetization: 0.0 μB/f.u.
* density of states at the Fermi level: 4.4 states/eV/cell

Cell lengths 4.017, 4.606, 23.535 Å; angles 90.00, 90.00, 90.00 degrees
Positions (direct):
Sb1 0.750 0.745 0.173
Sb2 0.250 0.255 0.827
Sb3 0.250 0.245 0.327
Sb4 0.750 0.755 0.673
Au1 0.250 0.755 0.763
Au2 0.750 0.245 0.237
Au3 0.750 0.255 0.737
Au4 0.250 0.745 0.263
I1 0.250 0.765 0.574
I2 0.750 0.235 0.426
I3 0.750 0.265 0.926
I4 0.250 0.735 0.074


No. 5
This record from Alexandria describes crystalline SbAuI at its relaxed geometry. The functional is PBE-GGA.

Summary:
* SG: P3m1
* E_form (uncorrected): 27 meV/atom
* calculated total energy: -2.96 eV per atom
* magnetization: 0.0 μB/f.u.
* density of states at the Fermi level: 1.6 states/eV/cell

Cell lengths 4.186, 4.186, 5.716 Å; angles 90.00, 90.00, 120.00 degrees
Positions (direct):
I1 0.000 0.000 0.976
Sb1 0.667 0.333 0.392
Au1 0.333 0.667 0.632


No. 6
This record from Alexandria describes crystalline SbAuI4 at its relaxed geometry. The functional is PBE-GGA.

Summary:
* SG: C2/c
* E_form (uncorrected): -233 meV/atom
* calculated total energy: -2.50 eV per atom
* magnetization: 0.0 μB/f.u.
* density of states at the Fermi level: 0.0 states/eV/cell

Cell lengths 7.708, 7.600, 11.463 Å; angles 70.64, 91.44, 94.36 degrees
Positions (direct):
Sb1 0.750 0.050 0.401
Sb2 0.250 0.950 0.599
Au1 0.250 0.353 0.794
Au2 0.750 0.647 0.206
I1 0.433 0.077 0.804
I2 0.067 0.619 0.804
I3 0.442 0.278 0.400
I4 0.558 0.722 0.600
I5 0.942 0.178 0.600
I6 0.933 0.381 0.196
I7 0.058 0.822 0.400
I8 0.567 0.923 0.196